# 1
A geometry-optimized CsCeCu2Cl8 structure, computed with PBE.

abc: 6.3678 6.3678 10.3859
angles: 86.82 86.82 70.64
Site moments in Bohr magnetons follow the coordinates.
Atoms (fractional coordinates):
Cl (0.2464, 0.7565, 0.8115)  0.03
Cl (0.2579, 0.2579, 0.9856)  0.03
Cl (0.7421, 0.7421, 0.0144)  0.03
Cl (0.7536, 0.2435, 0.1885)  0.03
Cl (0.7565, 0.2464, 0.8115)  0.03
Cl (0.2435, 0.7536, 0.1885)  0.03
Cl (0.6728, 0.6728, 0.4163)  0.09
Cl (0.3272, 0.3272, 0.5837)  0.09
Cu (0.6389, 0.6389, 0.2130)  0.33
Cu (0.3611, 0.3611, 0.7870)  0.33
Cs (0.0000, 0.0000, 0.5000)  0.00
Ce (0.0000, 0.0000, 0.0000)  -0.07

Calculated values
- formation energy (no corrections) (eV per formula unit) = -16.151
- volume (Å³ per cell) = 396.4
- Fermi-level density of states (states/eV per atom) = 0.680

=====

# 2
A geometry-optimized CaSb2 structure, computed with PBE.

abc: 7.1121 7.1121 6.4214
angles: 89.17 89.17 34.81
Atoms (fractional coordinates):
Sb (0.5392, 0.5392, 0.7117)
Sb (0.1932, 0.1932, 0.8641)
Sb (0.8068, 0.8068, 0.1359)
Sb (0.4608, 0.4608, 0.2883)
Ca (0.8565, 0.8565, 0.6442)
Ca (0.1435, 0.1435, 0.3558)

Calculated values
- formation energy (no corrections) (eV per formula unit) = -1.519
- volume (Å³ per cell) = 185.4
- Fermi-level density of states (states/eV per atom) = 0.452

=====

# 3
A geometry-optimized Pm2Pu2N3 structure, computed with PBE.

abc: 5.9066 9.7897 9.7897
angles: 76.34 69.51 69.51
Site moments in Bohr magnetons follow the coordinates.
Atoms (fractional coordinates):
N (0.1681, 0.8052, 0.0184)  0.03
N (0.7676, 0.8394, 0.4170)  0.03
N (0.7324, 0.5830, 0.1606)  0.03
N (0.2828, 0.6901, 0.5448)  -0.06
N (0.7828, 0.5448, 0.6901)  -0.06
N (0.7172, 0.3099, 0.4552)  -0.06
N (0.8319, 0.1948, 0.9816)  0.03
N (0.2676, 0.4170, 0.8394)  0.03
N (0.2172, 0.4552, 0.3099)  -0.06
N (0.6681, 0.0184, 0.8052)  0.03
N (0.3319, 0.9816, 0.1948)  0.03
N (0.2324, 0.1606, 0.5830)  0.03
Pm (0.2500, 0.4204, 0.5796)  0.02
Pm (0.9138, 0.9975, 0.1834)  0.01
Pm (0.0862, 0.0025, 0.8166)  0.01
Pm (0.4138, 0.1834, 0.9975)  0.01
Pm (0.7500, 0.5796, 0.4204)  0.02
Pm (0.5862, 0.8166, 0.0025)  0.01
Pm (0.7500, 0.3005, 0.6995)  -0.06
Pm (0.2500, 0.6995, 0.3005)  -0.06
Pu (0.3383, 0.9374, 0.4422)  -4.75
Pu (0.8452, 0.7793, 0.6417)  4.66
Pu (0.1548, 0.2207, 0.3583)  4.66
Pu (0.6617, 0.0626, 0.5578)  -4.75
Pu (0.3452, 0.6417, 0.7793)  4.66
Pu (0.1617, 0.5578, 0.0626)  -4.75
Pu (0.6548, 0.3583, 0.2207)  4.66
Pu (0.8383, 0.4422, 0.9374)  -4.75

Calculated values
- formation energy (no corrections) (eV per formula unit) = -6.303
- volume (Å³ per cell) = 492.5
- Fermi-level density of states (states/eV per atom) = 1.885

=====

# 4
A geometry-optimized CeAl3Au10 structure, computed with PBE.

abc: 9.2437 9.2436 9.2436
angles: 60.00 60.00 60.00
Site moments in Bohr magnetons follow the coordinates.
Atoms (fractional coordinates):
Au (0.6154, 0.6154, 0.6154)  0.00
Au (0.0000, 0.6561, 0.3439)  0.00
Au (0.8462, 0.3846, 0.3846)  0.00
Au (0.0000, 0.6561, 0.0000)  0.00
Au (0.1538, 0.6154, 0.6154)  0.00
Au (0.0000, 0.3439, 0.0000)  0.00
Au (0.0000, 0.3439, 0.6561)  0.00
Au (0.6561, 0.3439, 0.0000)  0.00
Au (0.3846, 0.3846, 0.8462)  0.00
Au (0.3439, 0.0000, 0.0000)  0.00
Au (0.6561, 0.0000, 0.0000)  0.00
Au (0.6561, 0.0000, 0.3439)  0.00
Au (0.6154, 0.1538, 0.6154)  0.00
Au (0.3439, 0.6561, 0.0000)  0.00
Au (0.3439, 0.0000, 0.6561)  0.00
Au (0.0000, 0.0000, 0.3439)  0.00
Au (0.0000, 0.0000, 0.6561)  0.00
Au (0.3846, 0.3846, 0.3846)  0.00
Au (0.6154, 0.6154, 0.1538)  0.00
Au (0.3846, 0.8462, 0.3846)  0.00
Al (0.2636, 0.2636, 0.7364)  0.00
Al (0.7364, 0.2636, 0.7364)  0.00
Al (0.7364, 0.2636, 0.2636)  0.00
Al (0.2636, 0.7364, 0.2636)  0.00
Al (0.2636, 0.7364, 0.7364)  0.00
Al (0.7364, 0.7364, 0.2636)  0.00
Ce (0.2500, 0.2500, 0.2500)  0.94
Ce (0.7500, 0.7500, 0.7500)  0.94

Calculated values
- volume (Å³ per cell) = 558.5
- Fermi-level density of states (states/eV per atom) = 0.769
- energy of formation (eV per atom) = -0.277

=====

# 5
A geometry-optimized TaCoMoPd2 structure, computed with PBE.

abc: 4.8143 4.3853 4.8143
angles: 90.00 90.00 90.00
Site moments in Bohr magnetons follow the coordinates.
Atoms (fractional coordinates):
Pd (0.5000, 0.0000, 0.0000)  0.07
Pd (0.0000, 0.0000, 0.5000)  0.03
Ta (0.0000, 0.0000, 0.0000)  -0.20
Co (0.0000, 0.5000, 0.0000)  0.36
Mo (0.5000, 0.5000, 0.5000)  3.13

Calculated values
- volume (Å³ per cell) = 101.6
- Fermi-level density of states (states/eV per atom) = 1.060
- energy of formation (eV per atom) = 1.404

=====

# 6
A geometry-optimized Li2Nd2Au3 structure, computed with PBE.

abc: 3.7230 3.4412 11.8148
angles: 90.00 80.93 90.00
Atoms (fractional coordinates):
Li (0.2839, 0.5000, 0.4323)
Li (0.7161, 0.5000, 0.5677)
Au (0.0000, 0.0000, 0.0000)
Au (0.8309, 0.0000, 0.3382)
Au (0.1691, 0.0000, 0.6618)
Nd (0.4163, 0.5000, 0.1674)
Nd (0.5837, 0.5000, 0.8326)

Calculated values
- volume (Å³ per cell) = 149.5
- Fermi-level density of states (states/eV per atom) = 0.662
- energy of formation (eV per atom) = -0.557

=====

# 7
A geometry-optimized GdURu structure, computed with PBE.

abc: 3.1800 4.7688 4.7688
angles: 120.00 90.00 90.00
Site moments in Bohr magnetons follow the coordinates.
Atoms (fractional coordinates):
Ru (0.0445, 0.0000, 0.0000)  -0.18
U (0.2917, 0.6667, 0.3333)  1.78
Gd (0.6638, 0.3333, 0.6667)  7.09

Calculated values
- volume (Å³ per cell) = 62.6
- polymorph energy (0 for the lowest one) (eV per atom) = 0.275
- Fermi-level density of states (states/eV per atom) = 2.505
- energy of formation (eV per atom) = 0.177

=====

# 8
A geometry-optimized SrGeNF2 structure, computed with PBE.

abc: 4.3863 4.3863 3.9334
angles: 90.00 90.00 90.00
Atoms (fractional coordinates):
F (0.0000, 0.5000, 0.0000)
F (0.5000, 0.0000, 0.0000)
Sr (0.5000, 0.5000, 0.5000)
Ge (0.0000, 0.0000, 0.0000)
N (0.0000, 0.0000, 0.5000)

Calculated values
- formation energy (no corrections) (eV per formula unit) = -8.046
- volume (Å³ per cell) = 75.7
- polymorph energy (0 for the lowest one) (eV per atom) = 0.000
- Fermi-level density of states (states/eV per atom) = 0.017

=====

# 9
A geometry-optimized AlAg2Mo structure, computed with PBE.

abc: 9.4479 9.4479 9.4479
angles: 17.51 17.51 17.51
Atoms (fractional coordinates):
Al (0.4989, 0.4989, 0.4989)
Mo (0.7542, 0.7542, 0.7542)
Ag (0.0010, 0.0010, 0.0010)
Ag (0.2459, 0.2459, 0.2459)

Calculated values
- volume (Å³ per cell) = 66.6
- Fermi-level density of states (states/eV per atom) = 0.734
- energy of formation (eV per atom) = 0.140

=====

# 10
A geometry-optimized AlSb2Br structure, computed with PBE.

abc: 3.2929 6.0931 6.1640
angles: 75.37 90.00 90.00
Atoms (fractional coordinates):
Sb (0.0000, 0.0574, 0.0283)
Sb (0.5000, 0.3947, 0.2225)
Al (0.0000, 0.3656, 0.6160)
Br (0.5000, 0.6823, 0.6332)

Calculated values
- formation energy (no corrections) (eV per formula unit) = -0.384
- volume (Å³ per cell) = 119.7
- polymorph energy (0 for the lowest one) (eV per atom) = 0.103
- Fermi-level density of states (states/eV per atom) = 0.313

=====

# 11
A geometry-optimized Na2GeTeO6 structure, computed with PBE.

abc: 5.1813 5.1813 10.8207
angles: 90.00 90.00 120.00
Atoms (fractional coordinates):
Na (0.3333, 0.6667, 0.4596)
Na (0.6667, 0.3333, 0.5404)
Na (0.3333, 0.6667, 0.0404)
Na (0.6667, 0.3333, 0.9596)
O (0.9447, 0.2835, 0.3521)
O (0.7165, 0.0553, 0.1479)
O (0.2835, 0.3388, 0.6479)
O (0.7165, 0.6612, 0.3521)
O (0.3388, 0.2835, 0.1479)
O (0.0553, 0.7165, 0.6479)
O (0.9447, 0.6612, 0.1479)
O (0.0553, 0.3388, 0.8521)
O (0.3388, 0.0553, 0.3521)
O (0.2835, 0.9447, 0.8521)
O (0.6612, 0.9447, 0.6479)
O (0.6612, 0.7165, 0.8521)
Ge (0.6667, 0.3333, 0.2500)
Ge (0.3333, 0.6667, 0.7500)
Te (0.0000, 0.0000, 0.2500)
Te (0.0000, 0.0000, 0.7500)

Calculated values
- formation energy (no corrections) (eV per formula unit) = -15.306
- volume (Å³ per cell) = 251.6
- polymorph energy (0 for the lowest one) (eV per atom) = 0.000
- Fermi-level density of states (states/eV per atom) = 0.000

=====

# 12
A geometry-optimized CdSiRu2 structure, computed with PBE.

abc: 3.0691 4.3815 4.3815
angles: 90.00 90.00 90.00
Site moments in Bohr magnetons follow the coordinates.
Atoms (fractional coordinates):
Ru (0.0000, 0.0000, 0.0000)  0.28
Ru (0.0000, 0.5000, 0.5000)  0.28
Si (0.5000, 0.5000, 0.0000)  -0.01
Cd (0.5000, 0.0000, 0.5000)  0.02

Calculated values
- formation energy (no corrections) (eV per formula unit) = 0.375
- volume (Å³ per cell) = 58.9
- Fermi-level density of states (states/eV per atom) = 1.081

=====

# 13
A geometry-optimized Tb2RhBr structure, computed with PBE.

abc: 4.0117 4.0117 8.0086
angles: 75.50 75.50 60.00
Atoms (fractional coordinates):
Tb (0.7311, 0.7311, 0.8066)
Tb (0.2689, 0.2689, 0.1934)
Br (0.5000, 0.5000, 0.5000)
Rh (0.0000, 0.0000, 0.0000)

Calculated values
- formation energy (no corrections) (eV per formula unit) = -4.374
- volume (Å³ per cell) = 106.9
- polymorph energy (0 for the lowest one) (eV per atom) = 0.000
- Fermi-level density of states (states/eV per atom) = 0.216

=====

# 14
A geometry-optimized Ta2CrRh structure, computed with PBE.

abc: 9.4718 9.4718 9.4718
angles: 17.02 17.02 17.02
Atoms (fractional coordinates):
Rh (0.7563, 0.7563, 0.7563)
Cr (0.4937, 0.4937, 0.4937)
Ta (0.0054, 0.0054, 0.0054)
Ta (0.2446, 0.2446, 0.2446)

Calculated values
- volume (Å³ per cell) = 63.5
- Fermi-level density of states (states/eV per atom) = 0.806
- energy of formation (eV per atom) = 0.171

=====

# 15
A geometry-optimized SmYNi4 structure, computed with PBE.

abc: 5.1085 5.1085 5.1085
angles: 60.00 60.00 60.00
Atoms (fractional coordinates):
Ni (0.6252, 0.6252, 0.1243)
Ni (0.6252, 0.1243, 0.6252)
Ni (0.1243, 0.6252, 0.6252)
Ni (0.6252, 0.6252, 0.6252)
Y (0.0000, 0.0000, 0.0000)
Sm (0.2500, 0.2500, 0.2500)

Calculated values
- volume (Å³ per cell) = 94.3
- Fermi-level density of states (states/eV per atom) = 0.701
- energy of formation (eV per atom) = -0.389

=====

# 16
A geometry-optimized Ta5Mn4V structure, computed with PBE.

abc: 3.0736 3.0736 15.5215
angles: 90.00 90.00 90.00
Atoms (fractional coordinates):
Mn (0.0000, 0.0000, 0.4016)
Mn (0.0000, 0.0000, 0.5984)
Mn (0.0000, 0.0000, 0.7952)
Mn (0.0000, 0.0000, 0.2048)
V (0.0000, 0.0000, 0.0000)
Ta (0.5000, 0.5000, 0.8941)
Ta (0.5000, 0.5000, 0.6971)
Ta (0.5000, 0.5000, 0.3029)
Ta (0.5000, 0.5000, 0.1059)
Ta (0.5000, 0.5000, 0.5000)

Calculated values
- volume (Å³ per cell) = 146.6
- Fermi-level density of states (states/eV per atom) = 0.495
- energy of formation (eV per atom) = -0.201

=====

# 17
A geometry-optimized ReBrCl2 structure, computed with PBE.

abc: 5.1263 5.1263 5.1263
angles: 126.76 126.76 78.64
Site moments in Bohr magnetons follow the coordinates.
Atoms (fractional coordinates):
Cl (0.0000, 0.0000, 0.0000)  0.01
Cl (0.5000, 0.5000, 0.0000)  0.01
Br (0.7500, 0.2500, 0.5000)  -0.12
Re (0.2500, 0.7500, 0.5000)  3.57

Calculated values
- formation energy (no corrections) (eV per formula unit) = 4.615
- volume (Å³ per cell) = 83.7
- polymorph energy (0 for the lowest one) (eV per atom) = 1.318
- Fermi-level density of states (states/eV per atom) = 0.938

=====

# 18
A geometry-optimized Tm8TcTe2 structure, computed with PBE.

abc: 7.0724 7.3987 7.3987
angles: 55.19 81.15 81.15
Atoms (fractional coordinates):
Tm (0.1532, 0.6006, 0.0702)
Tm (0.8468, 0.9298, 0.3994)
Tm (0.3077, 0.0986, 0.0986)
Tm (0.7832, 0.4591, 0.4591)
Tm (0.8468, 0.3994, 0.9298)
Tm (0.2168, 0.5409, 0.5409)
Tm (0.1532, 0.0702, 0.6006)
Tm (0.6923, 0.9014, 0.9014)
Tc (0.0000, 0.0000, 0.0000)
Te (0.5115, 0.3124, 0.3124)
Te (0.4885, 0.6876, 0.6876)

Calculated values
- formation energy (no corrections) (eV per formula unit) = -3.989
- volume (Å³ per cell) = 313.0
- Fermi-level density of states (states/eV per atom) = 0.940

=====

# 19
A geometry-optimized CsKZn3 structure, computed with PBE.

abc: 6.5975 6.5975 6.5975
angles: 90.00 90.00 90.00
Atoms (fractional coordinates):
Zn (0.5000, 0.0000, 0.0000)
Zn (0.0000, 0.0000, 0.5000)
Zn (0.0000, 0.5000, 0.0000)
K (0.5000, 0.5000, 0.5000)
Cs (0.0000, 0.0000, 0.0000)

Calculated values
- volume (Å³ per cell) = 287.2
- polymorph energy (0 for the lowest one) (eV per atom) = 0.101
- Fermi-level density of states (states/eV per atom) = 0.656
- energy of formation (eV per atom) = 0.568

=====

# 20
A geometry-optimized BeSb2 structure, computed with PBE.

abc: 6.9524 6.9524 4.8084
angles: 90.00 90.00 120.00
Atoms (fractional coordinates):
Sb (0.0000, 0.2951, 0.0000)
Sb (0.7049, 0.7049, 0.0000)
Sb (0.0000, 0.6274, 0.5000)
Sb (0.2951, 0.0000, 0.0000)
Sb (0.6274, 0.0000, 0.5000)
Sb (0.3726, 0.3726, 0.5000)
Be (0.3333, 0.6667, 0.0000)
Be (0.6667, 0.3333, 0.0000)
Be (0.0000, 0.0000, 0.5000)

Calculated values
- formation energy (no corrections) (eV per formula unit) = 1.330
- volume (Å³ per cell) = 201.3
- polymorph energy (0 for the lowest one) (eV per atom) = 0.211
- Fermi-level density of states (states/eV per atom) = 0.377

=====

# 21
A geometry-optimized Sc2CdN structure, computed with PBE.

abc: 8.3547 8.3547 8.3547
angles: 26.24 26.24 26.24
Atoms (fractional coordinates):
Sc (0.0762, 0.0762, 0.0762)
Sc (0.9238, 0.9238, 0.9238)
N (0.0000, 0.0000, 0.0000)
Cd (0.5000, 0.5000, 0.5000)

Calculated values
- formation energy (no corrections) (eV per formula unit) = -0.389
- volume (Å³ per cell) = 100.5
- polymorph energy (0 for the lowest one) (eV per atom) = 0.992
- Fermi-level density of states (states/eV per atom) = 0.451

=====

# 22
A geometry-optimized PmHo4Al2 structure, computed with PBE.

abc: 10.3900 6.7264 6.6753
angles: 120.25 90.00 90.00
Atoms (fractional coordinates):
Pm (0.0000, 0.0000, 0.0000)
Pm (0.5000, 0.5000, 0.0000)
Al (0.0000, 0.7254, 0.4509)
Al (0.0000, 0.2746, 0.5491)
Al (0.5000, 0.2254, 0.4509)
Al (0.5000, 0.7746, 0.5491)
Ho (0.6613, 0.0001, 0.0000)
Ho (0.2500, 0.9999, 0.5000)
Ho (0.7500, 0.5001, 0.5000)
Ho (0.3387, 0.9999, 0.0000)
Ho (0.8387, 0.5001, 0.0000)
Ho (0.7500, 0.0001, 0.5000)
Ho (0.2500, 0.4999, 0.5000)
Ho (0.1613, 0.4999, 0.0000)

Calculated values
- volume (Å³ per cell) = 403.0
- polymorph energy (0 for the lowest one) (eV per atom) = 0.000
- Fermi-level density of states (states/eV per atom) = 1.268
- energy of formation (eV per atom) = -0.042

=====

# 23
A geometry-optimized BaSrYCo2 structure, computed with PBE.

abc: 5.2881 5.7450 5.2881
angles: 90.00 90.00 90.00
Site moments in Bohr magnetons follow the coordinates.
Atoms (fractional coordinates):
Co (0.5000, 0.0000, 0.0000)  1.67
Co (0.0000, 0.0000, 0.5000)  1.65
Sr (0.0000, 0.0000, 0.0000)  -0.15
Ba (0.5000, 0.5000, 0.5000)  -0.01
Y (0.0000, 0.5000, 0.0000)  -0.18

Calculated values
- volume (Å³ per cell) = 160.7
- Fermi-level density of states (states/eV per atom) = 2.864
- energy of formation (eV per atom) = 1.379

=====

# 24
A geometry-optimized ZnFeCoBr2 structure, computed with PBE.

abc: 5.0867 4.9672 5.0867
angles: 90.00 90.00 90.00
Site moments in Bohr magnetons follow the coordinates.
Atoms (fractional coordinates):
Co (0.5000, 0.5000, 0.5000)  2.18
Br (0.5000, 0.0000, 0.0000)  0.04
Br (0.0000, 0.0000, 0.5000)  0.08
Fe (0.0000, 0.5000, 0.0000)  3.23
Zn (0.0000, 0.0000, 0.0000)  -0.03

Calculated values
- formation energy (no corrections) (eV per formula unit) = 5.691
- volume (Å³ per cell) = 128.5
- Fermi-level density of states (states/eV per atom) = 2.425